No. 1
Entry from Alexandria: a relaxed structure of ZnTeIrN2 (GGA-PBE).

abc: 3.8288 3.8288 5.8935
angles: 90.00 90.00 90.00
With the nearest neighbours (Å) after each atom.
Space group P4/mmm (No. 123)
Unique sites:
Zn: 0.0000 0.0000 0.0000 (multiplicity 1)  4 Te 2.71
Te: 0.5000 0.5000 0.0000 (multiplicity 1)  4 Zn 2.71, 2 Ir 2.95
Ir: 0.5000 0.5000 0.5000 (multiplicity 1)  4 N 1.91
N: 0.0000 0.5000 0.5000 (multiplicity 2)  2 Ir 1.91

Computed properties:
uncorrected formation energy = 353 kJ/mol of formula units
E above lowest polymorph = 0 meV per atom

=====

No. 2
Entry from Alexandria: a relaxed structure of ZrTe2IrN (GGA-PBE).

abc: 5.4780 5.4780 3.6850
angles: 90.00 90.00 90.00
With the nearest neighbours (Å) after each atom.
Space group P4/mmm (No. 123)
Unique sites:
Zr: 0.0000 0.0000 0.0000 (multiplicity 1)  8 Te 3.30, 2 Zr 3.68
Te: 0.0000 0.5000 0.5000 (multiplicity 2)  2 Ir 2.74
Ir: 0.5000 0.5000 0.5000 (multiplicity 1)  2 N 1.84
N: 0.5000 0.5000 0.0000 (multiplicity 1)  2 Ir 1.84

Computed properties:
uncorrected formation energy = 90 kJ/mol of formula units
E above lowest polymorph = 0 meV per atom